DFT (meta-GGA SCAN) results for a PBEsol-optimized structure of ScAgSe2.

Unit cell a=4.7694 b=4.7694 c=4.7694 alpha=60.00 beta=60.00 gamma=60.00
Atoms (fractional coordinates):
Se1 0.7500 0.7500 0.7500
Ag1 0.5000 0.5000 0.5000
Se2 0.0000 0.0000 0.0000
Sc1 0.2500 0.2500 0.2500

Symmetry: F-43m, No. 216
Formation energy from raw total energies (eV/atom): -0.33